<A>
K2BaAs2 | GGA-PBE | optimized geometry

The structure belongs to space group P4/mbm (No. 127); the cell edges are 8.2208, 8.2208 and 5.4404 Å and the angles 90.00°, 90.00° and 90.00°. Symmetry generates all atoms from K at (0.1565, 0.3435, 0.0000), Ba at (0.0000, 0.0000, 0.5000) and As at (0.1082, 0.6082, 0.5000).

***

<B>
K2BaAs2 | GGA-PBE | optimized geometry

The structure belongs to space group I4/mmm (No. 139); the cell edges are 4.8671, 4.8671 and 14.2660 Å and the angles 90.00°, 90.00° and 90.00°. Symmetry generates all atoms from K at (0.0000, 0.5000, 0.2500), Ba at (0.0000, 0.0000, 0.0000) and As at (0.0000, 0.0000, 0.4118).

***

Winner for stability: <B>

***

<A>
KBa2As2 | GGA-PBE | optimized geometry

The structure belongs to space group P4/mbm (No. 127); the cell edges are 9.5199, 9.5199 and 3.9604 Å and the angles 90.00°, 90.00° and 90.00°. Symmetry generates all atoms from K at (0.0000, 0.0000, 0.0000), Ba at (0.1345, 0.3655, 0.5000) and As at (0.1647, 0.6647, 0.0000).

***

<B>
KBa2As2 | GGA-PBE | optimized geometry

The structure belongs to space group I4/mmm (No. 139); the cell edges are 6.0530, 6.0530 and 12.0983 Å and the angles 90.00°, 90.00° and 90.00°. Symmetry generates all atoms from K at (0.0000, 0.0000, 0.0000), Ba at (0.0000, 0.0000, 0.3308) and As at (0.0000, 0.5000, 0.2500).

***

Winner for stability: <A>

***

<A>
KBa2LiAs | GGA-PBE | optimized geometry

The structure belongs to space group P4/mmm (No. 123); the cell edges are 6.6124, 6.6124 and 5.2699 Å and the angles 90.00°, 90.00° and 90.00°. Symmetry generates all atoms from K at (0.0000, 0.0000, 0.0000), Ba at (0.0000, 0.5000, 0.5000), Li at (0.5000, 0.5000, 0.0000) and As at (0.5000, 0.5000, 0.5000).

***

<B>
KBa2LiAs | GGA-PBE | optimized geometry

The structure belongs to space group P4/mmm (No. 123); the cell edges are 6.1049, 6.1049 and 5.4625 Å and the angles 90.00°, 90.00° and 90.00°. Symmetry generates all atoms from K at (0.0000, 0.0000, 0.0000), Ba at (0.0000, 0.5000, 0.5000), Li at (0.0000, 0.0000, 0.5000) and As at (0.5000, 0.5000, 0.0000).

***

Winner for stability: <A>

***

<A>
KBaSr2As | GGA-PBE | optimized geometry

The structure belongs to space group P4/mmm (No. 123); the cell edges are 6.4396, 6.4396 and 5.8845 Å and the angles 90.00°, 90.00° and 90.00°. Symmetry generates all atoms from K at (0.0000, 0.0000, 0.0000), Ba at (0.5000, 0.5000, 0.5000), Sr at (0.0000, 0.5000, 0.0000) and As at (0.0000, 0.0000, 0.5000).

***

<B>
KBaSr2As | GGA-PBE | optimized geometry

The structure belongs to space group P4/mmm (No. 123); the cell edges are 6.2463, 6.2463 and 6.5890 Å and the angles 90.00°, 90.00° and 90.00°. Symmetry generates all atoms from K at (0.0000, 0.0000, 0.0000), Ba at (0.5000, 0.5000, 0.0000), Sr at (0.0000, 0.5000, 0.5000) and As at (0.5000, 0.5000, 0.5000).

***

Winner for stability: <B>

***

<A>
BaLaAs3 | GGA-PBE | optimized geometry

The structure belongs to space group Pm-3m (No. 221); the cell edges are 5.6419, 5.6419 and 5.6419 Å and the angles 90.00°, 90.00° and 90.00°. Symmetry generates all atoms from Ba at (0.0000, 0.0000, 0.0000), La at (0.5000, 0.5000, 0.5000) and As at (0.0000, 0.5000, 0.5000).

***

<B>
BaLaAs3 | GGA-PBE | optimized geometry

The structure belongs to space group Pm-3m (No. 221); the cell edges are 5.6170, 5.6170 and 5.6170 Å and the angles 90.00°, 90.00° and 90.00°. Symmetry generates all atoms from Ba at (0.0000, 0.0000, 0.0000), La at (0.5000, 0.5000, 0.5000) and As at (0.0000, 0.0000, 0.5000).

***

Winner for stability: <A>

***

<A>
Ba3LaAs | GGA-PBE | optimized geometry

The structure belongs to space group Pm-3m (No. 221); the cell edges are 6.1251, 6.1251 and 6.1251 Å and the angles 90.00°, 90.00° and 90.00°. Symmetry generates all atoms from Ba at (0.0000, 0.0000, 0.5000), La at (0.0000, 0.0000, 0.0000) and As at (0.5000, 0.5000, 0.5000).

***

<B>
Ba3LaAs | GGA-PBE | optimized geometry

The structure belongs to space group Pm-3m (No. 221); the cell edges are 6.4162, 6.4162 and 6.4162 Å and the angles 90.00°, 90.00° and 90.00°. Symmetry generates all atoms from Ba at (0.0000, 0.0000, 0.5000), La at (0.5000, 0.5000, 0.5000) and As at (0.0000, 0.0000, 0.0000).

***

Winner for stability: <B>

***

<A>
BaLaAs2Se | GGA-PBE | optimized geometry

The structure belongs to space group P4/mmm (No. 123); the cell edges are 5.5331, 5.5331 and 5.8161 Å and the angles 90.00°, 90.00° and 90.00°. Symmetry generates all atoms from Ba at (0.0000, 0.0000, 0.0000), La at (0.5000, 0.5000, 0.5000), As at (0.0000, 0.5000, 0.0000) and Se at (0.0000, 0.0000, 0.5000).

***

<B>
BaLaAs2Se | GGA-PBE | optimized geometry

The structure belongs to space group P4/mmm (No. 123); the cell edges are 5.6540, 5.6540 and 5.7421 Å and the angles 90.00°, 90.00° and 90.00°. Symmetry generates all atoms from Ba at (0.0000, 0.0000, 0.0000), La at (0.5000, 0.5000, 0.5000), As at (0.0000, 0.5000, 0.5000) and Se at (0.5000, 0.5000, 0.0000).

***

Winner for stability: <B>

***

<A>
BaLaAsSe2 | GGA-PBE | optimized geometry

The structure belongs to space group P4/mmm (No. 123); the cell edges are 5.7395, 5.7395 and 5.6137 Å and the angles 90.00°, 90.00° and 90.00°. Symmetry generates all atoms from Ba at (0.0000, 0.0000, 0.0000), La at (0.5000, 0.5000, 0.5000), As at (0.5000, 0.5000, 0.0000) and Se at (0.0000, 0.5000, 0.5000).

***

<B>
BaLaAsSe2 | GGA-PBE | optimized geometry

The structure belongs to space group P4/mmm (No. 123); the cell edges are 5.7627, 5.7627 and 5.5659 Å and the angles 90.00°, 90.00° and 90.00°. Symmetry generates all atoms from Ba at (0.0000, 0.0000, 0.0000), La at (0.5000, 0.5000, 0.5000), As at (0.0000, 0.0000, 0.5000) and Se at (0.0000, 0.5000, 0.0000).

***

<C>
BaLaAsSe2 | GGA-PBE | optimized geometry

The structure belongs to space group P4/mmm (No. 123); the cell edges are 5.6691, 5.6691 and 7.3009 Å and the angles 90.00°, 90.00° and 90.00°. Symmetry generates all atoms from Ba at (0.0000, 0.0000, 0.0000), La at (0.0000, 0.0000, 0.5000), As at (0.5000, 0.5000, 0.5000) and Se at (0.0000, 0.5000, 0.0000).

***

Winner for stability: <A>

***

<A>
BaLiAs2 | GGA-PBE | optimized geometry

The structure belongs to space group R-3m (No. 166, hexagonal axes); the cell edges are 4.6938, 4.6938 and 16.9432 Å and the angles 90.00°, 90.00° and 120.00°. Symmetry generates all atoms from Ba at (0.0000, 0.0000, 0.0000), Li at (0.0000, 0.0000, 0.5000) and As at (0.0000, 0.0000, 0.1954).

***

<B>
BaLiAs2 | GGA-PBE | optimized geometry

The structure belongs to space group I-42d (No. 122); the cell edges are 5.1813, 5.1813 and 16.8927 Å and the angles 90.00°, 90.00° and 90.00°. Symmetry generates all atoms from Ba at (0.0000, 0.0000, 0.0000), Li at (0.0000, 0.0000, 0.5000) and As at (0.0406, 0.7500, 0.6250).

***

<C>
BaLiAs2 | GGA-PBE | optimized geometry

The structure belongs to space group P4/mmm (No. 123); the cell edges are 4.7493, 4.7493 and 4.5595 Å and the angles 90.00°, 90.00° and 90.00°. Symmetry generates all atoms from Ba at (0.0000, 0.0000, 0.0000), Li at (0.5000, 0.5000, 0.0000) and As at (0.0000, 0.5000, 0.5000).

***

<D>
BaLiAs2 | GGA-PBE | optimized geometry

The structure belongs to space group C2/m (No. 12); the cell edges are 8.7991, 4.5390 and 5.7008 Å and the angles 90.00°, 108.68° and 90.00°. Symmetry generates all atoms from Ba at (0.0000, 0.0000, 0.0000), Li at (0.0000, 0.5000, 0.5000) and As at (0.2444, 0.0000, 0.6171).

***

Winner for stability: <D>

***

<A>
Ba2LiAs2 | GGA-PBE | optimized geometry

The structure belongs to space group P4/mbm (No. 127); the cell edges are 8.3567, 8.3567 and 4.6295 Å and the angles 90.00°, 90.00° and 90.00°. Symmetry generates all atoms from Ba at (0.1529, 0.3471, 0.0000), Li at (0.0000, 0.0000, 0.5000) and As at (0.1493, 0.6493, 0.5000).

***

<B>
Ba2LiAs2 | GGA-PBE | optimized geometry

The structure belongs to space group C2/m (No. 12); the cell edges are 12.0457, 4.5741 and 11.6358 Å and the angles 90.00°, 110.25° and 90.00°. Symmetry generates all atoms from Ba at (0.0899, 0.0000, 0.4122), Ba at (0.1930, 0.5000, 0.1478), Li at (0.0845, 0.5000, 0.8282), As at (0.0432, 0.0000, 0.9147) and As at (0.1547, 0.5000, 0.6454).

***

Winner for stability: <B>

***

<A>
BaLiMgAs2 | GGA-PBE | optimized geometry

The structure belongs to space group I-4m2 (No. 119); the cell edges are 4.4713, 4.4713 and 12.1450 Å and the angles 90.00°, 90.00° and 90.00°. Symmetry generates all atoms from Ba at (0.0000, 0.0000, 0.0000), Li at (0.0000, 0.5000, 0.7500), Mg at (0.0000, 0.5000, 0.2500) and As at (0.0000, 0.0000, 0.3738).

***

<B>
BaLiMgAs2 | GGA-PBE | optimized geometry

The structure belongs to space group P4/mmm (No. 123); the cell edges are 5.8173, 5.8173 and 5.5605 Å and the angles 90.00°, 90.00° and 90.00°. Symmetry generates all atoms from Ba at (0.0000, 0.0000, 0.0000), Li at (0.0000, 0.0000, 0.5000), Mg at (0.5000, 0.5000, 0.5000) and As at (0.0000, 0.5000, 0.0000).

***

Winner for stability: <A>